## Zn2CdNi (GGA-PBE)

Data for a geometry-optimized Zn2CdNi structure.

Formation enthalpy at 0 K ... -16 meV per atom

Geometry as POSCAR:
```
Zn2CdNi
1.0
4.870 -0.024 0.000
1.847 4.506 0.000
-3.358 -2.241 2.723
Ni Zn Cd
1 2 1
direct
0.750 0.250 0.500
0.000 0.000 0.000
0.500 0.500 0.000
0.250 0.750 0.500
```